1.
# Ac6La2Pr3Nd (PBE-GGA, relaxed)
# Calculated total energy, eV per formula unit: -53.34
# E_form, eV/atom: 0.02
# SG: C2/m, No. 12
# DOS at the Fermi energy, states/eV/f.u.: 19.856
# Calculated volume, Å³ per cell: 486
data_Ac6La2Pr3Nd
_symmetry_space_group_name_H-M 'P 1'
_symmetry_Int_Tables_number 1
_cell_length_a 6.7269
_cell_length_b 6.7269
_cell_length_c 12.6172
_cell_angle_alpha 95.12
_cell_angle_beta 95.12
_cell_angle_gamma 120.06
loop_
_symmetry_equiv_pos_as_xyz
'x,y,z'
loop_
_atom_site_label
_atom_site_fract_x
_atom_site_fract_y
_atom_site_fract_z
_atom_site_occupancy
La1 0.6666 0.3334 0.0000 1
La2 0.3334 0.6666 0.0000 1
Ac1 0.5829 0.9162 0.7490 1
Ac2 0.9162 0.5829 0.7490 1
Ac3 0.2496 0.2496 0.7492 1
Ac4 0.4171 0.0838 0.2510 1
Ac5 0.0838 0.4171 0.2510 1
Ac6 0.7504 0.7504 0.2508 1
Pr1 0.1664 0.8336 0.5000 1
Pr2 0.8336 0.1664 0.5000 1
Pr3 0.5000 0.5000 0.5000 1
Nd1 0.0000 0.0000 0.0000 1

---

2.
# AcLaPrNd (PBE-GGA, relaxed)
# Calculated total energy, eV per formula unit: -18.09
# E_form, eV/atom: 0.12
# SG: F-43m, No. 216
# DOS at the Fermi energy, states/eV/f.u.: 10.226
# Calculated volume, Å³ per cell: 154
data_AcLaPrNd
_symmetry_space_group_name_H-M 'P 1'
_symmetry_Int_Tables_number 1
_cell_length_a 6.0224
_cell_length_b 6.0224
_cell_length_c 6.0224
_cell_angle_alpha 60.00
_cell_angle_beta 60.00
_cell_angle_gamma 60.00
loop_
_symmetry_equiv_pos_as_xyz
'x,y,z'
loop_
_atom_site_label
_atom_site_fract_x
_atom_site_fract_y
_atom_site_fract_z
_atom_site_occupancy
La1 0.2500 0.2500 0.2500 1
Pr1 0.0000 0.0000 0.0000 1
Nd1 0.5000 0.5000 0.5000 1
Ac1 0.7500 0.7500 0.7500 1

---

3.
# Ac2La6PrNd (PBE-GGA, relaxed)
# Calculated total energy, eV per formula unit: -45.41
# E_form, eV/atom: 0.19
# SG: C2/m, No. 12
# DOS at the Fermi energy, states/eV/f.u.: 19.280
# Calculated volume, Å³ per cell: 388
data_Ac2La6PrNd
_symmetry_space_group_name_H-M 'P 1'
_symmetry_Int_Tables_number 1
_cell_length_a 9.2138
_cell_length_b 7.0371
_cell_length_c 7.3094
_cell_angle_alpha 118.78
_cell_angle_beta 108.23
_cell_angle_gamma 90.00
loop_
_symmetry_equiv_pos_as_xyz
'x,y,z'
loop_
_atom_site_label
_atom_site_fract_x
_atom_site_fract_y
_atom_site_fract_z
_atom_site_occupancy
La1 0.4072 0.6409 0.2818 1
La2 0.8021 0.9078 0.3187 1
La3 0.1979 0.5890 0.6813 1
La4 0.5928 0.3591 0.7182 1
La5 0.1979 0.0922 0.6813 1
La6 0.8021 0.4110 0.3187 1
Ac1 0.8006 0.8915 0.7830 1
Ac2 0.1994 0.1085 0.2170 1
Nd1 0.5000 0.0000 0.0000 1
Pr1 0.0000 0.5000 0.0000 1

---

4.
# Ac6La2PrNd (PBE-GGA, relaxed)
# Calculated total energy, eV per formula unit: -42.32
# E_form, eV/atom: 0.17
# SG: C2/m, No. 12
# DOS at the Fermi energy, states/eV/f.u.: 16.449
# Calculated volume, Å³ per cell: 421
data_Ac6La2PrNd
_symmetry_space_group_name_H-M 'P 1'
_symmetry_Int_Tables_number 1
_cell_length_a 10.0466
_cell_length_b 7.4562
_cell_length_c 7.0810
_cell_angle_alpha 121.77
_cell_angle_beta 107.75
_cell_angle_gamma 90.00
loop_
_symmetry_equiv_pos_as_xyz
'x,y,z'
loop_
_atom_site_label
_atom_site_fract_x
_atom_site_fract_y
_atom_site_fract_z
_atom_site_occupancy
Nd1 0.5000 0.0000 0.0000 1
La1 0.8433 0.9503 0.9006 1
La2 0.1567 0.0497 0.0994 1
Ac1 0.4161 0.6282 0.2564 1
Ac2 0.7966 0.9443 0.3918 1
Ac3 0.2034 0.5525 0.6082 1
Ac4 0.2034 0.0557 0.6082 1
Ac5 0.7966 0.4475 0.3918 1
Ac6 0.5839 0.3718 0.7436 1
Pr1 0.0000 0.5000 0.0000 1

---

5.
# AcLaPrNd2 (PBE-GGA, relaxed)
# Calculated total energy, eV per formula unit: -23.15
# E_form, eV/atom: 0.04
# SG: P2_1/m, No. 11
# DOS at the Fermi energy, states/eV/f.u.: 8.622
# Calculated volume, Å³ per cell: 382
data_AcLaPrNd2
_symmetry_space_group_name_H-M 'P 1'
_symmetry_Int_Tables_number 1
_cell_length_a 6.0930
_cell_length_b 6.6149
_cell_length_c 10.0285
_cell_angle_alpha 70.77
_cell_angle_beta 90.00
_cell_angle_gamma 90.00
loop_
_symmetry_equiv_pos_as_xyz
'x,y,z'
loop_
_atom_site_label
_atom_site_fract_x
_atom_site_fract_y
_atom_site_fract_z
_atom_site_occupancy
Nd1 0.7500 0.9613 0.4045 1
Nd2 0.2500 0.2257 0.2059 1
Nd3 0.7500 0.7743 0.7941 1
Nd4 0.2500 0.0387 0.5955 1
La1 0.7500 0.1608 0.0041 1
La2 0.2500 0.8392 0.9959 1
Pr1 0.7500 0.3600 0.5994 1
Pr2 0.2500 0.6400 0.4006 1
Ac1 0.2500 0.4384 0.7996 1
Ac2 0.7500 0.5616 0.2004 1

---

6.
# Ac2La2PrNd4 (PBE-GGA, relaxed)
# Calculated total energy, eV per formula unit: -41.75
# E_form, eV/atom: 0.02
# SG: C2/m, No. 12
# DOS at the Fermi energy, states/eV/f.u.: 13.569
# Calculated volume, Å³ per cell: 342
data_Ac2La2PrNd4
_symmetry_space_group_name_H-M 'P 1'
_symmetry_Int_Tables_number 1
_cell_length_a 3.8161
_cell_length_b 10.0223
_cell_length_c 10.1220
_cell_angle_alpha 115.25
_cell_angle_beta 90.00
_cell_angle_gamma 100.97
loop_
_symmetry_equiv_pos_as_xyz
'x,y,z'
loop_
_atom_site_label
_atom_site_fract_x
_atom_site_fract_y
_atom_site_fract_z
_atom_site_occupancy
Ac1 0.8540 0.7080 0.3357 1
Ac2 0.1460 0.2920 0.6643 1
Nd1 0.8157 0.6314 0.6674 1
Nd2 0.4814 0.9628 0.6767 1
Nd3 0.5186 0.0372 0.3233 1
Nd4 0.1843 0.3686 0.3326 1
La1 0.6659 0.3318 0.0033 1
La2 0.3341 0.6682 0.9967 1
Pr1 0.0000 0.0000 0.0000 1

---

7.
# AcLa6PrNd2 (PBE-GGA, relaxed)
# Calculated total energy, eV per formula unit: -47.04
# E_form, eV/atom: 0.10
# SG: C2/c, No. 15
# DOS at the Fermi energy, states/eV/f.u.: 16.250
# Calculated volume, Å³ per cell: 752
data_AcLa6PrNd2
_symmetry_space_group_name_H-M 'P 1'
_symmetry_Int_Tables_number 1
_cell_length_a 10.2159
_cell_length_b 9.1714
_cell_length_c 9.1714
_cell_angle_alpha 117.92
_cell_angle_beta 94.17
_cell_angle_gamma 94.17
loop_
_symmetry_equiv_pos_as_xyz
'x,y,z'
loop_
_atom_site_label
_atom_site_fract_x
_atom_site_fract_y
_atom_site_fract_z
_atom_site_occupancy
Ac1 0.2500 0.9790 0.0210 1
Ac2 0.7500 0.0210 0.9790 1
La1 0.6206 0.4975 0.7019 1
La2 0.1863 0.5587 0.0155 1
La3 0.8137 0.4413 0.9845 1
La4 0.1206 0.7019 0.4975 1
La5 0.6863 0.0155 0.5587 1
La6 0.4499 0.2552 0.8867 1
La7 0.3137 0.9845 0.4413 1
La8 0.9499 0.8867 0.2552 1
La9 0.3794 0.5025 0.2981 1
La10 0.8794 0.2981 0.5025 1
La11 0.0501 0.1133 0.7448 1
La12 0.5501 0.7448 0.1133 1
Nd1 0.4563 0.8061 0.7015 1
Nd2 0.0437 0.2985 0.1939 1
Nd3 0.5437 0.1939 0.2985 1
Nd4 0.9563 0.7015 0.8061 1
Pr1 0.2500 0.4058 0.5942 1
Pr2 0.7500 0.5942 0.4058 1

---

8.
# AcLa2PrNd2 (PBE-GGA, relaxed)
# Calculated total energy, eV per formula unit: -26.87
# E_form, eV/atom: 0.24
# SG: Pnnm, No. 58
# DOS at the Fermi energy, states/eV/f.u.: 12.848
# Calculated volume, Å³ per cell: 458
data_AcLa2PrNd2
_symmetry_space_group_name_H-M 'P 1'
_symmetry_Int_Tables_number 1
_cell_length_a 3.5800
_cell_length_b 6.8364
_cell_length_c 18.7150
_cell_angle_alpha 90.00
_cell_angle_beta 90.00
_cell_angle_gamma 90.00
loop_
_symmetry_equiv_pos_as_xyz
'x,y,z'
loop_
_atom_site_label
_atom_site_fract_x
_atom_site_fract_y
_atom_site_fract_z
_atom_site_occupancy
La1 0.0000 0.7938 0.1875 1
La2 0.0000 0.2062 0.8125 1
La3 0.5000 0.2938 0.3125 1
La4 0.5000 0.7062 0.6875 1
Pr1 0.5000 0.5000 0.0000 1
Pr2 0.0000 0.0000 0.5000 1
Ac1 0.5000 0.5000 0.5000 1
Ac2 0.0000 0.0000 0.0000 1
Nd1 0.5000 0.1966 0.6505 1
Nd2 0.5000 0.8034 0.3495 1
Nd3 0.0000 0.6966 0.8495 1
Nd4 0.0000 0.3034 0.1505 1

---

9.
# Ac3LaPrNd (PBE-GGA, relaxed)
# Calculated total energy, eV per formula unit: -26.66
# E_form, eV/atom: 0.02
# SG: P2_1/m, No. 11
# DOS at the Fermi energy, states/eV/f.u.: 10.635
# Calculated volume, Å³ per cell: 486
data_Ac3LaPrNd
_symmetry_space_group_name_H-M 'P 1'
_symmetry_Int_Tables_number 1
_cell_length_a 5.4773
_cell_length_b 8.5642
_cell_length_c 11.5394
_cell_angle_alpha 116.08
_cell_angle_beta 90.00
_cell_angle_gamma 90.00
loop_
_symmetry_equiv_pos_as_xyz
'x,y,z'
loop_
_atom_site_label
_atom_site_fract_x
_atom_site_fract_y
_atom_site_fract_z
_atom_site_occupancy
Ac1 0.7500 0.3810 0.2066 1
Ac2 0.2500 0.6190 0.7934 1
Ac3 0.2500 0.6341 0.4598 1
Ac4 0.2500 0.1272 0.9528 1
Ac5 0.7500 0.3659 0.5402 1
Ac6 0.7500 0.8728 0.0472 1
Pr1 0.2500 0.6295 0.1277 1
Pr2 0.7500 0.3705 0.8723 1
La1 0.7500 0.8810 0.7061 1
La2 0.2500 0.1190 0.2939 1
Nd1 0.2500 0.1213 0.6223 1
Nd2 0.7500 0.8787 0.3777 1

---

10.
# AcLaPr2Nd5 (PBE-GGA, relaxed)
# Calculated total energy, eV per formula unit: -40.50
# E_form, eV/atom: 0.21
# SG: I4/mcm, No. 140
# DOS at the Fermi energy, states/eV/f.u.: 12.431
# Calculated volume, Å³ per cell: 664
data_AcLaPr2Nd5
_symmetry_space_group_name_H-M 'P 1'
_symmetry_Int_Tables_number 1
_cell_length_a 9.0628
_cell_length_b 9.0628
_cell_length_c 10.3199
_cell_angle_alpha 116.05
_cell_angle_beta 116.05
_cell_angle_gamma 90.00
loop_
_symmetry_equiv_pos_as_xyz
'x,y,z'
loop_
_atom_site_label
_atom_site_fract_x
_atom_site_fract_y
_atom_site_fract_z
_atom_site_occupancy
Nd1 0.0679 0.5679 0.7328 1
Nd2 0.6649 0.1649 0.7328 1
Nd3 0.8351 0.9321 0.2672 1
Nd4 0.1649 0.0679 0.7328 1
Nd5 0.9321 0.4321 0.2672 1
Nd6 0.5000 0.5000 0.0000 1
Nd7 0.0000 0.0000 0.0000 1
Nd8 0.3351 0.8351 0.2672 1
Nd9 0.4321 0.3351 0.2672 1
Nd10 0.5679 0.6649 0.7328 1
La1 0.2500 0.7500 0.5000 1
La2 0.7500 0.2500 0.5000 1
Pr1 0.1194 0.3806 0.0000 1
Pr2 0.6194 0.1194 0.0000 1
Pr3 0.8806 0.6194 0.0000 1
Pr4 0.3806 0.8806 0.0000 1
Ac1 0.2500 0.2500 0.5000 1
Ac2 0.7500 0.7500 0.5000 1